Density functional theory data (PBE) for crystalline Nb2CoCu2S6 at its relaxed geometry.

CIF file:
```
data_Nb2CoCu2S6
_chemical_formula_sum 'Nb4 Co2 Cu4 S12'
_space_group_name_H-M_alt 'C 1 2/m 1'
_space_group_IT_number 12
_space_group_name_Hall '-C 2y'
_cell_length_a 5.760
_cell_length_b 10.831
_cell_length_c 5.914
_cell_angle_alpha 90.00
_cell_angle_beta 95.78
_cell_angle_gamma 90.00
loop_
_atom_site_label
_atom_site_type_symbol
_atom_site_fract_x
_atom_site_fract_y
_atom_site_fract_z
Nb1 Nb 0.000 0.137 0.000
Co1 Co 0.000 0.500 0.000
Cu1 Cu 0.000 0.199 0.500
S1 S 0.173 0.334 0.233
S2 S 0.222 0.000 0.264
```

Calculated values
**Size of the total moment**: 1.9 μB/cell
**Raw formation energy**: -553 meV/atom